No. 1
Compound: NbInNiOs
Source: the Alexandria database
Functional: PBE
Structure: optimized geometry

Cell lengths 4.4940, 4.4940, 4.4940 Å; angles 60.00, 60.00, 60.00 degrees
Atoms (fractional coordinates):
Nb (0.0000, 0.0000, 0.0000)
In (0.5000, 0.5000, 0.5000)
Ni (0.2500, 0.2500, 0.2500)
Os (0.7500, 0.7500, 0.7500)

Properties
As for the crystal system: cubic. The calculation puts the density of states at the Fermi level at 3.7 states/eV/f.u. The value obtained for the formation energy from the elements is 0.004 eV per formula unit. Its space group is No. 216.


No. 2
Compound: SnRhCl2
Source: the Alexandria database
Functional: PBE
Structure: optimized geometry

Cell lengths 8.8668, 8.8668, 8.8668 Å; angles 23.26, 23.26, 23.26 degrees
Atoms (fractional coordinates):
Sn (0.0000, 0.0000, 0.0000)
Rh (0.5000, 0.5000, 0.5000)
Cl (0.1104, 0.1104, 0.1104)
Cl (0.8896, 0.8896, 0.8896)

Properties
Its energy relative to the lowest polymorph listed for this composition is 0.000 eV per atom. As for the crystal system: trigonal. The uncorrected formation energy is -0.090 eV/atom. The calculation puts the density of states at the Fermi level at 2.2 states/eV/f.u. Its space group is No. 166.


Calculated size of the total moment in order - 0.000, 1.660 μB per formula unit